(1)
{
  "formula": "HoSi2Ni10",
  "functional": "GGA-PBEsol",
  "state": "optimized geometry",
  "final_energy_ev_per_cell": -168.6,
  "m_tot_mub_per_cell": 0.00,
  "cell": [[4.609, 0.000, 0.000], [0.000, 8.051, 0.000], [0.000, 0.000, 8.051]],
  "species": ["Ni", "Ni", "Ni", "Ni", "Ni", "Ni", "Ni", "Ni", "Ni", "Ni", "Ni", "Ni", "Ni", "Ni", "Ni", "Ni", "Ni", "Ni", "Ni", "Ni", "Ho", "Ho", "Si", "Si", "Si", "Si"],
  "fractional_positions": [[0.000, 0.250, 0.750], [0.239, 0.647, 0.500], [0.270, 0.500, 0.223], [0.000, 0.250, 0.250], [0.761, 0.500, 0.647], [0.730, 0.777, 0.500], [0.239, 0.353, 0.500], [0.270, 0.723, 0.000], [0.761, 0.500, 0.353], [0.270, 0.277, 0.000], [0.761, 0.853, 0.000], [0.730, 0.000, 0.723], [0.000, 0.750, 0.750], [0.761, 0.147, 0.000], [0.000, 0.750, 0.250], [0.239, 0.000, 0.853], [0.730, 0.000, 0.277], [0.730, 0.223, 0.500], [0.270, 0.500, 0.777], [0.239, 0.000, 0.147], [0.779, 0.500, 0.000], [0.221, 0.000, 0.500], [0.500, 0.250, 0.250], [0.500, 0.750, 0.250], [0.500, 0.250, 0.750], [0.500, 0.750, 0.750]]
}

=====

(2)
{
  "formula": "Sr2RhSe",
  "functional": "GGA-PBEsol",
  "state": "optimized geometry",
  "final_energy_ev_per_cell": -18.6,
  "m_tot_mub_per_cell": 0.00,
  "cell": [[3.693, 0.000, 0.000], [0.000, 5.137, 0.000], [0.000, 0.000, 5.137]],
  "species": ["Se", "Rh", "Sr", "Sr"],
  "fractional_positions": [[0.500, 0.000, 0.000], [0.500, 0.500, 0.500], [0.000, 0.000, 0.500], [0.000, 0.500, 0.000]]
}

=====

(3)
{
  "formula": "SrLaW2Cl",
  "functional": "GGA-PBEsol",
  "state": "optimized geometry",
  "final_energy_ev_per_cell": -24.1,
  "m_tot_mub_per_cell": 0.00,
  "cell": [[4.740, 0.000, 0.000], [0.000, 4.740, 0.000], [0.000, 0.000, 6.147]],
  "species": ["Cl", "La", "W", "W", "Sr"],
  "fractional_positions": [[0.500, 0.500, 0.500], [0.000, 0.000, 0.500], [0.500, 0.000, 0.000], [0.000, 0.500, 0.000], [0.000, 0.000, 0.000]]
}

=====

(4)
{
  "formula": "CrIr3O",
  "functional": "GGA-PBEsol",
  "state": "optimized geometry",
  "final_energy_ev_per_cell": -34.3,
  "m_tot_mub_per_cell": 2.70,
  "cell": [[4.408, 0.000, 0.000], [0.000, 4.408, 0.000], [0.000, 0.000, 4.408]],
  "species": ["O", "Ir", "Ir", "Ir", "Cr"],
  "fractional_positions": [[0.500, 0.500, 0.500], [0.000, 0.500, 0.000], [0.000, 0.000, 0.500], [0.500, 0.000, 0.000], [0.000, 0.000, 0.000]]
}